(1)
Material: In2SiW
Method: DFT, PBE
State: optimized geometry

Unit cell a=5.1927 b=5.1927 c=5.1927 alpha=132.31 beta=132.31 gamma=69.73
Closest atoms and distances in Å follow each position.
Atoms (fractional coordinates):
In1 0.0000 0.0000 0.0000  4 Si 2.97, 4 In 2.99, 4 W 2.99
In2 0.2500 0.7500 0.5000  4 W 2.97, 4 In 2.99, 4 Si 2.99
Si1 0.5000 0.5000 0.0000  8 In 2.97-2.99, 4 W 2.99
W1 0.7500 0.2500 0.5000  8 In 2.97-2.99, 4 Si 2.99

Formation energy (no corrections), eV per atom: 0.694
Total energy, eV per atom: -5.27
SG: I-4m2 (119)

(2)
Material: InSiW3
Method: DFT, PBE
State: optimized geometry

Unit cell a=4.8572 b=4.8572 c=4.8572 alpha=90.00 beta=90.00 gamma=90.00
Closest atoms and distances in Å follow each position.
Atoms (fractional coordinates):
Si1 0.5000 0.5000 0.5000  12 W 3.43
W1 0.0000 0.5000 0.0000  2 In 2.43
W2 0.0000 0.0000 0.5000  2 In 2.43
W3 0.5000 0.0000 0.0000  2 In 2.43
In1 0.0000 0.0000 0.0000  6 W 2.43

Formation energy (no corrections), eV per atom: 3.110
Total energy, eV per atom: -6.29
SG: Pm-3m (221)
Energy relative to the lowest polymorph listed for this composition, eV per atom: 1.885

What did the first record say?
Material: In2SiW
Method: DFT, PBE
State: optimized geometry

Unit cell a=5.1927 b=5.1927 c=5.1927 alpha=132.31 beta=132.31 gamma=69.73
Closest atoms and distances in Å follow each position.
Atoms (fractional coordinates):
In1 0.0000 0.0000 0.0000  4 Si 2.97, 4 In 2.99, 4 W 2.99
In2 0.2500 0.7500 0.5000  4 W 2.97, 4 In 2.99, 4 Si 2.99
Si1 0.5000 0.5000 0.0000  8 In 2.97-2.99, 4 W 2.99
W1 0.7500 0.2500 0.5000  8 In 2.97-2.99, 4 Si 2.99

Formation energy (no corrections), eV per atom: 0.694
Total energy, eV per atom: -5.27
SG: I-4m2 (119)